(1)
DFT (PBE) results for an optimized crystal structure of Y2PPb2.

```
Y2PPb2
1.0
-2.7773 2.6840 6.3485
-3.6434 -6.3818 1.1042
3.9441 -1.8200 2.4949
Pb Y P
4 4 2
direct
0.1488 0.6488 0.5000 Pb
0.6488 0.8512 0.5000 Pb
0.8512 0.3512 0.5000 Pb
0.3512 0.1488 0.5000 Pb
0.1703 0.3297 0.0000 Y
0.3297 0.8297 0.0000 Y
0.6703 0.1703 0.0000 Y
0.8297 0.6703 0.0000 Y
0.5000 0.5000 0.0000 P
0.0000 0.0000 0.0000 P
```

Output
space group = P4/mbm
mass density = 7.5 Mg/m³
polymorph energy (0 for the lowest one) = 0 meV per atom
energy of formation = -0.621 eV/atom
electronic total energy = -5.7718 eV per atom



(2)
DFT (PBE) results for an optimized crystal structure of Y3PPb.

```
Y3PPb
1.0
4.4572 0.0000 5.5376
-2.2286 3.8600 5.5376
-2.2286 -3.8600 5.5376
Y Pb P
6 2 2
direct
0.8372 0.6555 0.2463 Y
0.6555 0.2463 0.8372 Y
0.7463 0.1555 0.3372 Y
0.3372 0.7463 0.1555 Y
0.1555 0.3372 0.7463 Y
0.2463 0.8372 0.6555 Y
0.7464 0.7464 0.7464 Pb
0.2464 0.2464 0.2464 Pb
0.9964 0.9964 0.9964 P
0.4964 0.4964 0.4964 P
```

Output
space group = R-3c
mass density = 5.9 Mg/m³
polymorph energy (0 for the lowest one) = 116 meV per atom
energy of formation = -0.798 eV/atom
electronic total energy = -6.5004 eV per atom



(3)
DFT (PBE) results for an optimized crystal structure of YPPb2.

```
YPPb2
1.0
3.8749 -4.0640 3.0785
-1.9385 -5.6428 2.3258
-0.2660 3.5251 -5.3396
P Y Pb
1 1 2
direct
0.0000 0.0000 0.0000 P
0.5000 0.5000 0.0000 Y
0.7500 0.2500 0.5000 Pb
0.2500 0.7500 0.5000 Pb
```

Output
space group = I4/mmm
mass density = 8.5 Mg/m³
energy of formation = -0.297 eV/atom
electronic total energy = -5.1199 eV per atom



(4)
DFT (PBE) results for an optimized crystal structure of Y3PPb.

```
Y3PPb
1.0
-10.7731 -1.8680 -5.7739
-3.6926 -9.4784 -1.2589
2.8476 -5.9670 7.8324
P Y Pb
4 12 4
direct
0.9282 0.5331 0.6425 P
0.4282 0.8575 0.9669 P
0.0718 0.4669 0.3575 P
0.5718 0.1425 0.0331 P
0.4336 0.0323 0.1249 Y
0.5664 0.9677 0.8751 Y
0.7611 0.8381 0.6696 Y
0.2149 0.5549 0.2826 Y
0.0664 0.6249 0.5323 Y
0.7389 0.1696 0.3381 Y
0.7149 0.2174 0.9451 Y
0.9336 0.3751 0.4677 Y
0.7851 0.4451 0.7174 Y
0.2851 0.7826 0.0549 Y
0.2611 0.8304 0.6619 Y
0.2389 0.1619 0.3304 Y
0.2500 0.8347 0.3347 Pb
0.2500 0.5005 0.0005 Pb
0.7500 0.4995 0.9995 Pb
0.7500 0.1653 0.6653 Pb
```

Output
space group = C2/c
mass density = 6.1 Mg/m³
polymorph energy (0 for the lowest one) = 185 meV per atom
energy of formation = -0.730 eV/atom
electronic total energy = -6.4317 eV per atom